1.
TaPtRh | PBE-GGA | relaxed

Lattice parameters (Å, degrees): 4.2838 4.2838 4.2838 60.00 60.00 60.00
Atoms (fractional coordinates):
1 Ta 0.0000 0.0000 0.0000
2 Pt 0.2500 0.2500 0.2500
3 Rh 0.7500 0.7500 0.7500

Calculated values
energy of formation from the pure elements: -0.324 eV/atom
total energy: -0.6423 Ry per atom
ΔE to the lowest computed polymorph: 0.298 eV per atom

=====

2.
La2TmCu3Ni12 | PBE-GGA | relaxed

Lattice parameters (Å, degrees): 6.4042 6.4042 6.4042 83.99 83.99 83.99
Atoms (fractional coordinates):
1 La 0.1813 0.1813 0.1813
2 La 0.8187 0.8187 0.8187
3 Tm 0.5000 0.5000 0.5000
4 Cu 0.0000 0.5000 0.5000
5 Cu 0.5000 0.0000 0.5000
6 Cu 0.5000 0.5000 0.0000
7 Ni 0.1007 0.1007 0.6196
8 Ni 0.1007 0.6196 0.1007
9 Ni 0.2052 0.7008 0.7008
10 Ni 0.2992 0.2992 0.7948
11 Ni 0.2992 0.7948 0.2992
12 Ni 0.3804 0.8993 0.8993
13 Ni 0.6196 0.1007 0.1007
14 Ni 0.7008 0.2052 0.7008
15 Ni 0.7008 0.7008 0.2052
16 Ni 0.7948 0.2992 0.2992
17 Ni 0.8993 0.3804 0.8993
18 Ni 0.8993 0.8993 0.3804

Calculated values
energy of formation from the pure elements: 0.015 eV/atom
total energy: -0.3909 Ry per atom

=====

3.
CdGeRh2 | PBE-GGA | relaxed

Lattice parameters (Å, degrees): 5.7028 5.7028 5.7028 104.48 104.48 120.00
Atoms (fractional coordinates):
1 Cd 0.0000 0.0000 0.0000
2 Cd 0.7500 0.2500 0.5000
3 Ge 0.2500 0.7500 0.5000
4 Ge 0.5000 0.5000 0.0000
5 Rh 0.1723 0.1250 0.5473
6 Rh 0.3750 0.8277 0.9527
7 Rh 0.5777 0.6250 0.4527
8 Rh 0.8750 0.4223 0.0473

Calculated values
energy of formation from the pure elements: -0.061 eV/atom
total energy: -0.3763 Ry per atom